No. 1
A relaxed structure of GdHoW, computed with PBE.

a b c (Å): 4.8952 4.8952 4.8952
angles (deg): 60.00 60.00 60.00
Last column: nearest neighbours and their distance in Å.
Sites, in units of the cell vectors:
Gd: 0.0000 0.0000 0.0000  4 W 3.00, 4 Ho 3.00
Ho: 0.7500 0.7500 0.7500  4 Gd 3.00
W: 0.2500 0.2500 0.2500  4 Gd 3.00

Computed properties:
Formation enthalpy at 0 K: 1.460 eV per atom

---

No. 2
A relaxed structure of GdY5Ho2, computed with PBE.

a b c (Å): 5.6489 7.2670 7.2670
angles (deg): 59.97 90.00 90.00
Last column: nearest neighbours and their distance in Å.
Sites, in units of the cell vectors:
Gd: 0.0000 0.0000 0.0000  4 Ho 3.51-3.63, 8 Y 3.52-3.64
Y: 0.0000 0.9998 0.5014  4 Ho 3.52-3.64, 6 Y 3.52-3.64, 2 Gd 3.62-3.64
Y: 0.0000 0.5014 0.9998  4 Ho 3.52-3.64, 6 Y 3.52-3.64, 2 Gd 3.62-3.64
Y: 0.5000 0.3343 0.3343  4 Ho 3.52-3.63, 8 Y 3.52-3.64
Y: 0.5000 0.3339 0.8335  4 Ho 3.52-3.64, 2 Gd 3.52, 6 Y 3.52-3.64
Y: 0.5000 0.8335 0.3339  4 Ho 3.52-3.64, 2 Gd 3.52, 6 Y 3.52-3.64
Ho: 0.0000 0.5007 0.5007  10 Y 3.52-3.64, 2 Gd 3.63
Ho: 0.5000 0.8343 0.8343  2 Gd 3.51, 10 Y 3.52-3.64

Computed properties:
Formation enthalpy at 0 K: 0.005 eV per atom

---

No. 3
A relaxed structure of GdYHo6, computed with PBE.

a b c (Å): 7.2248 7.2248 5.6102
angles (deg): 90.00 90.00 120.00
Last column: nearest neighbours and their distance in Å.
Sites, in units of the cell vectors:
Gd: 0.0000 0.0000 0.0000  12 Ho 3.50-3.61
Y: 0.6667 0.3333 0.5000  12 Ho 3.50-3.61
Ho: 0.0022 0.5011 0.0000  8 Ho 3.49-3.64, 2 Y 3.50, 2 Gd 3.61
Ho: 0.1674 0.3347 0.5000  8 Ho 3.49-3.63, 2 Gd 3.50, 2 Y 3.61
Ho: 0.1674 0.8326 0.5000  8 Ho 3.49-3.63, 2 Gd 3.50, 2 Y 3.61
Ho: 0.4989 0.5011 0.0000  8 Ho 3.49-3.64, 2 Y 3.50, 2 Gd 3.61
Ho: 0.4989 0.9978 0.0000  8 Ho 3.49-3.64, 2 Y 3.50, 2 Gd 3.61
Ho: 0.6653 0.8326 0.5000  8 Ho 3.49-3.63, 2 Gd 3.50, 2 Y 3.61

Computed properties:
Formation enthalpy at 0 K: 0.005 eV per atom

---

No. 4
A relaxed structure of GdHoZn, computed with PBE.

a b c (Å): 5.0550 5.0550 13.9868
angles (deg): 90.00 90.00 120.00
Last column: nearest neighbours and their distance in Å.
Sites, in units of the cell vectors:
Gd: 0.0000 0.0000 0.0000  6 Ho 3.37, 6 Zn 3.42, 2 Gd 3.50
Gd: 0.0000 0.0000 0.2500  6 Zn 3.39, 6 Ho 3.43, 2 Gd 3.50
Gd: 0.0000 0.0000 0.5000  6 Ho 3.37, 6 Zn 3.42, 2 Gd 3.50
Gd: 0.0000 0.0000 0.7500  6 Zn 3.39, 6 Ho 3.43, 2 Gd 3.50
Ho: 0.3333 0.6667 0.1205  3 Zn 2.92
Ho: 0.3333 0.6667 0.3795  3 Zn 2.92
Ho: 0.6667 0.3333 0.6205  3 Zn 2.92
Ho: 0.6667 0.3333 0.8795  3 Zn 2.92
Zn: 0.3333 0.6667 0.6271  3 Ho 2.92
Zn: 0.3333 0.6667 0.8729  3 Ho 2.92
Zn: 0.6667 0.3333 0.1271  3 Ho 2.92
Zn: 0.6667 0.3333 0.3729  3 Ho 2.92

Computed properties:
Formation enthalpy at 0 K: -0.079 eV per atom

---

No. 5
A relaxed structure of GdHoZn, computed with PBE.

a b c (Å): 4.9400 4.9400 4.9400
angles (deg): 60.00 60.00 60.00
Last column: nearest neighbours and their distance in Å.
Sites, in units of the cell vectors:
Gd: 0.0000 0.0000 0.0000  4 Zn 3.03
Ho: 0.5000 0.5000 0.5000  4 Zn 3.03
Zn: 0.2500 0.2500 0.2500  4 Ho 3.03, 4 Gd 3.03

Computed properties:
Formation enthalpy at 0 K: 0.021 eV per atom

---

No. 6
A relaxed structure of GdI3, computed with PBE.

a b c (Å): 8.1988 8.1988 8.1988
angles (deg): 54.80 54.80 54.80
Last column: nearest neighbours and their distance in Å.
Sites, in units of the cell vectors:
Gd: 0.0000 0.0000 0.0000  6 I 3.06
Gd: 0.5000 0.5000 0.5000  6 I 3.06
I: 0.0812 0.7500 0.4188  2 Gd 3.06
I: 0.2500 0.5812 0.9188  2 Gd 3.06
I: 0.4188 0.0812 0.7500  2 Gd 3.06
I: 0.5812 0.9188 0.2500  2 Gd 3.06
I: 0.7500 0.4188 0.0812  2 Gd 3.06
I: 0.9188 0.2500 0.5812  2 Gd 3.06

Computed properties:
Uncorrected energy: -3.662 eV/atom

---

No. 7
A relaxed structure of GdI3, computed with PBE.

a b c (Å): 7.3205 7.3205 13.2658
angles (deg): 90.00 90.00 90.00
Last column: nearest neighbours and their distance in Å.
Sites, in units of the cell vectors:
Gd: 0.0000 0.0000 0.1691  6 I 3.06-3.07
Gd: 0.0000 0.0000 0.8309  6 I 3.06-3.07
Gd: 0.5000 0.5000 0.3309  6 I 3.06-3.07
Gd: 0.5000 0.5000 0.6691  6 I 3.06-3.07
I: 0.2006 0.2006 0.0000  2 Gd 3.06
I: 0.2031 0.2031 0.3363  2 Gd 3.06-3.07
I: 0.2031 0.2031 0.6637  2 Gd 3.06-3.07
I: 0.2969 0.7031 0.1637  2 Gd 3.06-3.07
I: 0.2969 0.7031 0.8363  2 Gd 3.06-3.07
I: 0.2994 0.7006 0.5000  2 Gd 3.06
I: 0.7006 0.2994 0.5000  2 Gd 3.06
I: 0.7031 0.2969 0.1637  2 Gd 3.06-3.07
I: 0.7031 0.2969 0.8363  2 Gd 3.06-3.07
I: 0.7969 0.7969 0.3363  2 Gd 3.06-3.07
I: 0.7969 0.7969 0.6637  2 Gd 3.06-3.07
I: 0.7994 0.7994 0.0000  2 Gd 3.06

Computed properties:
Uncorrected energy: -3.685 eV/atom

---

No. 8
A relaxed structure of LaGdSbI2, computed with PBE.

a b c (Å): 4.4685 4.4685 11.5201
angles (deg): 90.00 90.00 120.00
Last column: nearest neighbours and their distance in Å.
Sites, in units of the cell vectors:
La: 0.0000 0.0000 0.0000  3 Sb 3.18, 3 I 3.30
Gd: 0.6667 0.3333 0.6950  3 Sb 3.07, 3 I 3.22
Sb: 0.3333 0.6667 0.8390  3 Gd 3.07, 3 La 3.18
I: 0.0000 0.0000 0.5281  3 Gd 3.22
I: 0.6667 0.3333 0.1792  3 La 3.30

Computed properties:
Uncorrected energy: -4.718 eV/atom

---

No. 9
A relaxed structure of LaGdSi2I2, computed with PBE.

a b c (Å): 4.1848 4.1848 12.5613
angles (deg): 90.00 90.00 120.00
Last column: nearest neighbours and their distance in Å.
Sites, in units of the cell vectors:
La: 0.0000 0.0000 0.0000  6 Si 3.12-3.23, 3 I 3.27
Gd: 0.0000 0.0000 0.3155  6 Si 3.03-3.13, 3 I 3.17
Si: 0.3333 0.6667 0.1701  3 Si 2.42
Si: 0.6667 0.3333 0.1576  3 Si 2.42
I: 0.3333 0.6667 0.8241  3 La 3.27
I: 0.6667 0.3333 0.4785  3 Gd 3.17

Computed properties:
Uncorrected energy: -5.009 eV/atom

---

No. 10
A relaxed structure of Rb2LiGdI6, computed with PBE.

a b c (Å): 8.4957 8.4957 8.4957
angles (deg): 120.08 120.08 89.86
Last column: nearest neighbours and their distance in Å.
Sites, in units of the cell vectors:
Rb: 0.2500 0.7500 0.5000  12 I 4.24-4.25
Rb: 0.7500 0.2500 0.5000  12 I 4.24-4.25
Li: 0.0000 0.0000 0.0000  6 I 2.96-2.98
Gd: 0.5000 0.5000 0.0000  6 I 3.04
I: 0.2470 0.2470 0.4939  1 Li 2.96, 1 Gd 3.04
I: 0.2470 0.7530 0.0000  1 Li 2.96, 1 Gd 3.04
I: 0.2476 0.2476 0.0000  1 Li 2.98, 1 Gd 3.04
I: 0.7524 0.7524 0.0000  1 Li 2.98, 1 Gd 3.04
I: 0.7530 0.2470 0.0000  1 Li 2.96, 1 Gd 3.04
I: 0.7530 0.7530 0.5061  1 Li 2.96, 1 Gd 3.04

Computed properties:
Uncorrected energy: -3.164 eV/atom

---

No. 11
A relaxed structure of Nd2Gd2I5N, computed with PBE.

a b c (Å): 10.4963 10.4963 8.7341
angles (deg): 101.81 101.81 21.95
Last column: nearest neighbours and their distance in Å.
Sites, in units of the cell vectors:
Nd: 0.9997 0.9997 0.1940  2 N 2.62
Nd: 0.0003 0.0003 0.8060  2 N 2.62
Gd: 0.3838 0.3838 0.9423  1 N 2.34
Gd: 0.6162 0.6162 0.0577  1 N 2.34
I: 0.1562 0.1562 0.3301  2 Gd 3.08, 1 Nd 3.20
I: 0.1576 0.1576 0.8251  2 Gd 3.09, 1 Nd 3.21
I: 0.5000 0.5000 0.5000  4 Nd 3.34
I: 0.8424 0.8424 0.1749  2 Gd 3.09, 1 Nd 3.21
I: 0.8438 0.8438 0.6699  2 Gd 3.08, 1 Nd 3.20
N: 0.5000 0.5000 0.0000  2 Gd 2.34, 4 Nd 2.62

Computed properties:
Uncorrected energy: -4.798 eV/atom

---

No. 12
A relaxed structure of Gd4PbIN2, computed with PBE.

a b c (Å): 3.6350 3.6350 15.2891
angles (deg): 90.00 90.00 120.00
Last column: nearest neighbours and their distance in Å.
Sites, in units of the cell vectors:
Gd: 0.0000 0.0000 0.1587  3 N 2.47
Gd: 0.0000 0.0000 0.8413  3 N 2.47
Gd: 0.3333 0.6667 0.3275  3 N 2.46
Gd: 0.3333 0.6667 0.6725  3 N 2.46
Pb: 0.0000 0.0000 0.5000  6 Gd 3.37, 6 Pb 3.63
I: 0.3333 0.6667 0.0000  6 Gd 3.21
N: 0.6667 0.3333 0.2439  6 Gd 2.46-2.47
N: 0.6667 0.3333 0.7561  6 Gd 2.46-2.47

Computed properties:
Uncorrected energy: -6.215 eV/atom